1.
## MgZr2Sc6 (PBE)

Data for an optimized crystal structure of MgZr2Sc6. Values from VASP.

Computed properties:
The space-group type is P-6m2 (187). The formation energy comes out at 37.5 kJ/mol of formula units. The energy relative to the lowest polymorph listed for this composition is 0.0 meV/atom. Its density of states at the Fermi level is 15.73 states/eV/f.u. The value obtained for the size of the total moment is 2.43 μB per cell.

Cell and atoms, written as Quantum ESPRESSO input:
```
&SYSTEM
  ibrav = 0, nat = 9, ntyp = 3
/
ATOMIC_SPECIES
Zr 91.22 Zr.upf
Sc 44.96 Sc.upf
Mg 24.30 Mg.upf
CELL_PARAMETERS angstrom
1.628 -2.819 0.000
1.628 2.819 0.000
0.000 0.000 23.899
ATOMIC_POSITIONS crystal
Zr 0.333 0.667 0.669
Zr 0.333 0.667 0.331
Sc 0.333 0.667 0.114
Sc 0.667 0.333 0.777
Sc 0.667 0.333 0.436
Sc 0.333 0.667 0.886
Sc 0.667 0.333 0.223
Sc 0.667 0.333 0.564
Mg 0.667 0.333 0.000
```

***

2.
## MgZr4Sc (PBE)

Data for an optimized crystal structure of MgZr4Sc. Values from VASP.

Computed properties:
The space-group type is F-43m (216). The formation energy comes out at 135.9 kJ/mol of formula units. The energy relative to the lowest polymorph listed for this composition is 188.4 meV/atom. Its density of states at the Fermi level is 8.70 states/eV/f.u. The value obtained for the size of the total moment is 0.00 μB per cell.

Cell and atoms, written as Quantum ESPRESSO input:
```
&SYSTEM
  ibrav = 0, nat = 6, ntyp = 3
/
ATOMIC_SPECIES
Zr 91.22 Zr.upf
Sc 44.96 Sc.upf
Mg 24.30 Mg.upf
CELL_PARAMETERS angstrom
0.000 4.172 4.172
4.172 0.000 4.172
4.172 4.172 0.000
ATOMIC_POSITIONS crystal
Zr 0.373 0.881 0.373
Zr 0.373 0.373 0.881
Zr 0.881 0.373 0.373
Zr 0.373 0.373 0.373
Sc 0.000 0.000 0.000
Mg 0.750 0.750 0.750
```